1.
Ge2BiAu2 | GGA-PBE | relaxed

Cell and atoms, written as POSCAR:
```
Ge2BiAu2
1.0
-2.8766 -6.3857 3.8590
4.2909 1.9677 6.4545
-2.5620 1.8437 1.1411
Au Ge Bi
4 4 2
direct
0.1398 0.3602 0.0000
0.3602 0.8602 0.0000
0.6398 0.1398 0.0000
0.8602 0.6398 0.0000
0.6514 0.8486 0.5000
0.1514 0.6514 0.5000
0.8486 0.3486 0.5000
0.3486 0.1514 0.5000
0.0000 0.0000 0.0000
0.5000 0.5000 0.0000
```

Properties
- energy of formation (eV/atom) = 0.102
- space group = No. 127

***

2.
GeBi3Au | GGA-PBE | relaxed

Cell and atoms, written as POSCAR:
```
GeBi3Au
1.0
-2.9814 0.4152 4.5906
-4.1681 -2.5770 -2.4739
1.9679 -4.8292 1.7148
Bi Au Ge
3 1 1
direct
0.0000 0.5000 0.0000
0.5000 0.0000 0.0000
0.0000 0.0000 0.5000
0.5000 0.5000 0.5000
0.0000 0.0000 0.0000
```

Properties
- energy of formation (eV/atom) = 0.747
- space group = No. 221

***

3.
GeBiAu | GGA-PBE | relaxed

Cell and atoms, written as POSCAR:
```
GeBiAu
1.0
4.7610 0.0000 0.0000
2.3805 4.1231 0.0000
2.3805 1.3744 3.8873
Ge Au Bi
1 1 1
direct
0.5000 0.5000 0.5000
0.2500 0.2500 0.2500
0.0000 0.0000 0.0000
```

Properties
- energy of formation (eV/atom) = 0.057
- space group = No. 216

***

4.
Ge3Bi5Au12 | GGA-PBE | relaxed

Cell and atoms, written as POSCAR:
```
Ge3Bi5Au12
1.0
13.9195 0.0000 0.0000
-4.6398 13.1235 0.0000
-4.6398 -6.5617 11.3653
Ge Au Bi
12 48 20
direct
0.8750 0.7500 0.1250
0.2500 0.1250 0.3750
0.8750 0.1250 0.2500
0.3750 0.6250 0.2500
0.3750 0.7500 0.6250
0.7500 0.8750 0.6250
0.6250 0.2500 0.3750
0.1250 0.2500 0.8750
0.2500 0.6250 0.8750
0.1250 0.8750 0.7500
0.7500 0.3750 0.1250
0.6250 0.3750 0.7500
0.3892 0.1341 0.5585
0.2550 0.8659 0.9244
0.5756 0.3306 0.9415
0.8659 0.2550 0.4244
0.4415 0.0756 0.3306
0.7550 0.3306 0.8892
0.4415 0.3659 0.6108
0.9244 0.5585 0.1694
0.1341 0.3892 0.0585
0.2450 0.6694 0.1108
0.1694 0.1108 0.7450
0.3306 0.7550 0.3892
0.2450 0.5756 0.6341
0.6694 0.4244 0.5585
0.9415 0.1108 0.8659
0.9244 0.3659 0.2550
0.6341 0.0756 0.2450
0.7550 0.4244 0.3659
0.1341 0.7450 0.5756
0.3659 0.9244 0.7550
0.6108 0.7450 0.6694
0.8306 0.8892 0.2550
0.6341 0.5585 0.8892
0.1694 0.0585 0.9244
0.5756 0.2450 0.1341
0.6694 0.2450 0.6108
0.4244 0.7550 0.8659
0.6108 0.8659 0.4415
0.5585 0.9244 0.6694
0.5585 0.6341 0.3892
0.2550 0.3892 0.8306
0.1108 0.1694 0.2450
0.0756 0.4415 0.8306
0.0585 0.8892 0.1341
0.7450 0.1341 0.0756
0.8892 0.0585 0.6341
0.7450 0.6108 0.1694
0.9415 0.8306 0.5756
0.1108 0.9415 0.3659
0.8659 0.6108 0.9415
0.8306 0.9415 0.0756
0.4244 0.6694 0.0585
0.3659 0.4415 0.1108
0.8892 0.8306 0.7550
0.3892 0.2550 0.3306
0.3306 0.5756 0.4415
0.0585 0.1694 0.4244
0.0756 0.6341 0.7450
0.6250 0.8750 0.2500
0.8750 0.6250 0.7500
0.6250 0.7500 0.8750
0.1250 0.3750 0.2500
0.5000 0.5000 0.0000
0.0000 0.0000 0.5000
0.5000 0.5000 0.5000
0.7500 0.6250 0.3750
0.5000 0.0000 0.0000
0.0000 0.0000 0.0000
0.3750 0.1250 0.7500
0.0000 0.5000 0.5000
0.5000 0.0000 0.5000
0.8750 0.2500 0.6250
0.2500 0.8750 0.1250
0.2500 0.3750 0.6250
0.7500 0.1250 0.8750
0.1250 0.7500 0.3750
0.0000 0.5000 0.0000
0.3750 0.2500 0.1250
```

Properties
- energy of formation (eV/atom) = 0.167
- space group = No. 230

***

5.
GeBi3Au8 | GGA-PBE | relaxed

Cell and atoms, written as POSCAR:
```
GeBi3Au8
1.0
6.1077 0.0000 0.0000
0.0000 8.5185 -4.9181
0.0000 0.0000 9.8363
Au Ge Bi
16 2 6
direct
0.0216 0.4962 0.9924
0.2744 0.5889 0.7945
0.2744 0.2055 0.4111
0.2744 0.2055 0.7945
0.0890 0.6667 0.3333
0.5216 0.5038 0.0076
0.5890 0.3333 0.6667
0.5216 0.9924 0.4962
0.7744 0.7945 0.5889
0.7744 0.4111 0.2055
0.0216 0.4962 0.5038
0.5157 0.0000 0.0000
0.5216 0.5038 0.4962
0.0216 0.0076 0.5038
0.7744 0.7945 0.2055
0.0157 0.0000 0.0000
0.0035 0.3333 0.6667
0.5035 0.6667 0.3333
0.2590 0.3090 0.1545
0.2590 0.8455 0.1545
0.7590 0.6910 0.8455
0.7590 0.1545 0.8455
0.2590 0.8455 0.6910
0.7590 0.1545 0.3090
```

Properties
- energy of formation (eV/atom) = 0.017
- space group = No. 186

***

6.
LiGeBiAu | GGA-PBE | relaxed

Cell and atoms, written as POSCAR:
```
LiGeBiAu
1.0
4.9320 0.0000 0.0000
2.4660 4.2712 0.0000
2.4660 1.4237 4.0270
Li Au Bi Ge
1 1 1 1
direct
0.0000 0.0000 0.0000
0.5000 0.5000 0.5000
0.7500 0.7500 0.7500
0.2500 0.2500 0.2500
```

Properties
- energy of formation (eV/atom) = -0.088
- space group = No. 216

***

7.
NaGeBiAu | GGA-PBE | relaxed

Cell and atoms, written as POSCAR:
```
NaGeBiAu
1.0
5.1067 0.0000 0.0000
2.5534 4.4226 0.0000
2.5534 1.4742 4.1696
Na Au Ge Bi
1 1 1 1
direct
0.0000 0.0000 0.0000
0.7500 0.7500 0.7500
0.2500 0.2500 0.2500
0.5000 0.5000 0.5000
```

Properties
- energy of formation (eV/atom) = -0.020
- space group = No. 216

***

8.
GeBiPbAu | GGA-PBE | relaxed

Cell and atoms, written as POSCAR:
```
GeBiPbAu
1.0
5.2341 0.0000 0.0000
2.6171 4.5329 0.0000
2.6171 1.5110 4.2736
Ge Bi Au Pb
1 1 1 1
direct
0.7500 0.7500 0.7500
0.5000 0.5000 0.5000
0.2500 0.2500 0.2500
0.0000 0.0000 0.0000
```

Properties
- energy of formation (eV/atom) = 0.166
- space group = No. 216

***

9.
GeBi2PtAu | GGA-PBE | relaxed

Cell and atoms, written as POSCAR:
```
GeBi2PtAu
1.0
-2.2753 -0.2134 5.0063
0.7543 -4.5985 0.1468
4.9311 0.8816 2.2787
Pt Bi Ge Au
1 2 1 1
direct
0.5000 0.5000 0.5000
0.5000 0.0000 0.0000
0.0000 0.0000 0.5000
0.0000 0.0000 0.0000
0.0000 0.5000 0.0000
```

Properties
- energy of formation (eV/atom) = 0.790
- space group = No. 123

***

10.
RbGeBiAu3 | GGA-PBE | relaxed

Cell and atoms, written as POSCAR:
```
RbGeBiAu3
1.0
7.7495 -0.7464 0.0000
0.8671 7.3283 0.0000
0.4336 3.6641 6.4507
Rb Ge Au Bi
2 2 6 2
direct
0.2500 0.2297 0.5406
0.7500 0.7703 0.4594
0.7500 0.0712 0.8576
0.2500 0.9288 0.1424
0.7500 0.2643 0.4714
0.4978 0.8059 0.9901
0.5022 0.1941 0.0099
0.0022 0.2040 0.9901
0.2500 0.7357 0.5286
0.9978 0.7960 0.0099
0.2500 0.5196 0.9607
0.7500 0.4804 0.0393
```

Properties
- energy of formation (eV/atom) = -0.162
- space group = No. 15

***

11.
ReGeBi2Au | GGA-PBE | relaxed

Cell and atoms, written as POSCAR:
```
ReGeBi2Au
1.0
5.4800 0.0000 0.0000
0.0000 5.1789 0.0000
0.0000 0.0000 5.4800
Bi Re Ge Au
2 1 1 1
direct
0.0000 0.0000 0.5000
0.5000 0.0000 0.0000
0.0000 0.5000 0.0000
0.5000 0.5000 0.5000
0.0000 0.0000 0.0000
```

Properties
- energy of formation (eV/atom) = 1.491
- space group = No. 123

***

12.
GeBi2AuS | GGA-PBE | relaxed

Cell and atoms, written as POSCAR:
```
GeBi2AuS
1.0
-1.9240 -3.4757 -3.8407
3.9146 -2.4753 0.2790
-2.2579 -3.1246 3.9587
Ge Au Bi S
1 1 2 1
direct
0.5000 0.5000 0.5000
0.0000 0.5000 0.0000
0.5000 0.0000 0.0000
0.0000 0.0000 0.5000
0.0000 0.0000 0.0000
```

Properties
- energy relative to the elements, uncorrected (eV/atom) = 0.4802
- space group = No. 123